Entry from Alexandria via LeMat-Bulk: a relaxed structure of YTm2Zn2Ga2 (PBE-GGA).

Cell: 9.334 9.334 9.334 Å, 27.46 27.46 27.46°
Element x y z (fractional)
Y 0.000 0.000 0.000
Tm 0.128 0.128 0.128
Tm 0.872 0.872 0.872
Zn 0.400 0.400 0.400
Zn 0.600 0.600 0.600
Ga 0.260 0.260 0.260
Ga 0.740 0.740 0.740

Properties
Its volume is 152.7 Å³/cell. As for the energy relative to the elements: -0.394 eV per atom.

Entry from Alexandria via LeMat-Bulk: a relaxed structure of LaP2N4 (PBE-GGA).

Cell: 7.465 7.465 4.601 Å, 90.00 90.00 90.00°
Element x y z (fractional)
La 0.000 0.000 0.000
La 0.500 0.500 0.500
P 0.000 0.500 0.250
P 0.000 0.500 0.750
P 0.500 0.000 0.250
P 0.500 0.000 0.750
N 0.001 0.338 0.000
N 0.162 0.501 0.500
N 0.338 0.999 0.000
N 0.499 0.162 0.500
N 0.501 0.838 0.500
N 0.662 0.001 0.000
N 0.838 0.499 0.500
N 0.999 0.662 0.000

Properties
Its offset from the most stable computed form is 23.52 kJ per mole of atoms. Its volume is 256.4 Å³/cell. The value obtained for the formation energy from raw total energies is -537 meV/atom.

Entry from Alexandria via LeMat-Bulk: a relaxed structure of Tb8Ho4Tm3 (PBE-GGA).

Cell: 9.178 9.178 6.695 Å, 111.13 111.13 87.52°
Element x y z (fractional)
Tb 0.143 0.857 0.000
Tb 0.229 0.229 0.447
Tb 0.237 0.237 0.977
Tb 0.249 0.751 0.500
Tb 0.751 0.249 0.500
Tb 0.763 0.763 0.023
Tb 0.771 0.771 0.553
Tb 0.857 0.143 0.000
Ho 0.000 0.500 0.500
Ho 0.500 0.000 0.500
Ho 0.500 0.500 0.000
Ho 0.500 0.500 0.500
Tm 0.000 0.000 0.500
Tm 0.000 0.500 0.000
Tm 0.500 0.000 0.000

Properties
Its offset from the most stable computed form is 24.42 kJ per mole of atoms. Its volume is 488.2 Å³/cell. As for the energy relative to the elements: 0.403 eV per atom.

Entry from Alexandria via LeMat-Bulk: a relaxed structure of LiNi2SnN (PBE-GGA).

Cell: 3.749 3.749 4.929 Å, 90.00 90.00 90.00°
Element x y z (fractional)
Li 0.000 0.000 0.000
Ni 0.000 0.500 0.500
Ni 0.500 0.000 0.500
Sn 0.500 0.500 0.000
N 0.500 0.500 0.500

Properties
Its offset from the most stable computed form is 20.86 kJ per mole of atoms. Its volume is 69.3 Å³/cell. The value obtained for the formation energy from raw total energies is 105 meV/atom.

Entry from Alexandria via LeMat-Bulk: a relaxed structure of AlTl (PBE-GGA).

Cell: 8.780 8.780 4.614 Å, 90.00 90.00 120.00°
Element x y z (fractional)
Al 0.120 0.560 0.250
Al 0.440 0.560 0.250
Al 0.440 0.880 0.250
Al 0.560 0.120 0.750
Al 0.560 0.440 0.750
Al 0.880 0.440 0.750
Tl 0.167 0.334 0.750
Tl 0.167 0.833 0.750
Tl 0.334 0.167 0.250
Tl 0.666 0.833 0.750
Tl 0.833 0.167 0.250
Tl 0.833 0.666 0.250

Properties
Its volume is 308.1 Å³/cell. As for the energy relative to the elements: 0.206 eV per atom.

Entry from Alexandria via LeMat-Bulk: a relaxed structure of Cd2SiIF (PBE-GGA).

Cell: 5.335 5.335 4.115 Å, 90.00 90.00 90.00°
Element x y z (fractional)
Cd 0.000 0.500 0.000
Cd 0.500 0.000 0.000
Si 0.000 0.000 0.000
I 0.500 0.500 0.500
F 0.000 0.000 0.500

Properties
Its volume is 117.1 Å³/cell. The value obtained for the formation energy from raw total energies is -608 meV/atom.

Entry from Alexandria via LeMat-Bulk: a relaxed structure of Zn3AsO (PBE-GGA).

Cell: 4.765 4.765 4.765 Å, 90.00 90.00 90.00°
Element x y z (fractional)
Zn 0.000 0.000 0.500
Zn 0.000 0.500 0.000
Zn 0.500 0.000 0.000
As 0.000 0.000 0.000
O 0.500 0.500 0.500

Properties
Its offset from the most stable computed form is 71.45 kJ per mole of atoms. Its volume is 108.2 Å³/cell. The value obtained for the formation energy from raw total energies is 543 meV/atom.

Entry from Alexandria via LeMat-Bulk: a relaxed structure of Sr2HgP (PBE-GGA).

Cell: 3.859 3.918 7.584 Å, 90.00 90.07 90.00°
Element x y z (fractional)
Sr 0.001 0.000 0.287
Sr 0.999 0.000 0.713
Hg 0.500 0.500 0.000
P 0.500 0.500 0.500

Properties
Its offset from the most stable computed form is 7.06 kJ per mole of atoms. Its volume is 114.7 Å³/cell. As for the energy relative to the elements: -0.744 eV per atom.

Entry from Alexandria via LeMat-Bulk: a relaxed structure of SrNd4Tl5 (PBE-GGA).

Cell: 3.932 3.932 19.812 Å, 90.00 90.00 90.00°
Element x y z (fractional)
Sr 0.000 0.000 0.000
Nd 0.000 0.000 0.205
Nd 0.000 0.000 0.402
Nd 0.000 0.000 0.598
Nd 0.000 0.000 0.795
Tl 0.500 0.500 0.110
Tl 0.500 0.500 0.306
Tl 0.500 0.500 0.500
Tl 0.500 0.500 0.694
Tl 0.500 0.500 0.890

Properties
Its volume is 306.3 Å³/cell. As for the energy relative to the elements: -0.391 eV per atom.

Entry from Alexandria via LeMat-Bulk: a relaxed structure of Tl2IrPbO6 (PBE-GGA).

Cell: 6.156 6.156 6.156 Å, 56.79 56.79 56.79°
Element x y z (fractional)
Tl 0.000 0.000 0.000
Tl 0.476 0.476 0.476
Ir 0.697 0.697 0.697
Pb 0.219 0.219 0.219
O 0.029 0.463 0.802
O 0.352 0.885 0.613
O 0.463 0.802 0.029
O 0.613 0.352 0.885
O 0.802 0.029 0.463
O 0.885 0.613 0.352

Properties
Its volume is 152.7 Å³/cell. The value obtained for the formation energy from raw total energies is -760 meV/atom.

Entry from Alexandria via LeMat-Bulk: a relaxed structure of CaGa2Pd6 (PBE-GGA).

Cell: 7.995 7.995 7.995 Å, 60.00 60.00 60.00°
Element x y z (fractional)
Ca 0.125 0.125 0.125
Ca 0.875 0.875 0.875
Ga 0.000 0.500 0.500
Ga 0.500 0.000 0.500
Ga 0.500 0.500 0.000
Ga 0.500 0.500 0.500
Pd 0.123 0.123 0.627
Pd 0.123 0.627 0.123
Pd 0.123 0.627 0.627
Pd 0.373 0.373 0.877
Pd 0.373 0.877 0.373
Pd 0.373 0.877 0.877
Pd 0.627 0.123 0.123
Pd 0.627 0.123 0.627
Pd 0.627 0.627 0.123
Pd 0.877 0.373 0.373
Pd 0.877 0.373 0.877
Pd 0.877 0.877 0.373

Properties
Its volume is 361.4 Å³/cell. As for the energy relative to the elements: -0.265 eV per atom.

Entry from Alexandria via LeMat-Bulk: a relaxed structure of NaGaHg6 (PBE-GGA).

Cell: 6.155 6.155 6.155 Å, 95.56 95.56 95.56°
Element x y z (fractional)
Na 0.000 0.000 0.000
Ga 0.500 0.500 0.500
Hg 0.181 0.181 0.579
Hg 0.181 0.579 0.181
Hg 0.421 0.819 0.819
Hg 0.579 0.181 0.181
Hg 0.819 0.421 0.819
Hg 0.819 0.819 0.421

Properties
Its offset from the most stable computed form is 3.05 kJ per mole of atoms. Its volume is 229.7 Å³/cell. As for the energy relative to the elements: -0.032 eV per atom.

Entry from Alexandria via LeMat-Bulk: a relaxed structure of Be2SiTe (PBE-GGA).

Cell: 3.509 3.584 5.189 Å, 90.00 90.00 90.00°
Element x y z (fractional)
Be 0.000 0.000 0.000
Be 0.500 0.000 0.500
Si 0.000 0.500 0.500
Te 0.500 0.500 0.000

Properties
Its offset from the most stable computed form is 46.41 kJ per mole of atoms. Its volume is 65.3 Å³/cell. The value obtained for the formation energy from raw total energies is 731 meV/atom.